Entry 1:
PBE Re2Ag, optimized geometry; excess energy over the best structure of this formula in the dataset = 25.3 meV/atom; spin magnetization = 0.0 μB per formula unit; energy of formation = 335 meV per atom; calculated density = 16.78 g/cm³
1.0
1.387 -7.651 0.000
1.387 7.651 0.000
0.000 0.000 4.479
Ag Re
2 4
Cartesian
1.387 4.282 1.120
1.387 -4.282 3.360
1.387 -0.754 1.120
1.387 0.754 3.360
1.387 -6.102 1.120
1.387 6.102 3.360


Entry 2:
PBE K4AlAu4, optimized geometry; spin magnetization = 0.0 μB per formula unit; energy of formation = -212 meV per atom; calculated density = 4.97 g/cm³
1.0
-2.432 5.544 -3.277
-0.349 0.527 8.381
4.985 3.838 2.793
Au K Al
4 4 1
Cartesian
-0.343 5.414 5.241
3.939 4.429 8.745
-0.331 2.279 1.045
1.143 7.695 0.766
1.694 4.721 2.543
2.609 6.803 6.531
-1.428 5.439 -0.012
1.534 2.854 6.734
0.000 0.000 0.000


Entry 3:
PBE Nb6GaFe, optimized geometry; spin magnetization = 0.0 μB per formula unit; energy of formation = -131 meV per atom; calculated density = 8.34 g/cm³
1.0
-4.579 5.387 1.689
-6.858 -1.511 1.872
-2.992 1.098 4.037
Nb Ga Fe
6 1 1
Cartesian
-9.697 2.367 5.262
-4.732 2.607 2.337
-10.236 5.447 5.630
-1.884 1.596 1.445
-12.546 3.378 6.153
-4.193 -0.474 1.968
-7.215 2.487 3.799
0.000 0.000 0.000


Entry 4:
PBE Ga2PbS4, optimized geometry; excess energy over the best structure of this formula in the dataset = 15.0 meV/atom; energy relative to the elements, uncorrected = -0.656 eV/atom; spin magnetization = 0.0 μB per formula unit; calculated density = 4.68 g/cm³
1.0
-1.769 2.132 -5.401
-4.058 -0.734 4.454
1.831 9.869 3.295
Pb S Ga
2 8 4
Cartesian
-1.541 8.100 1.998
-2.456 3.166 0.350
-1.381 0.622 -1.097
-0.272 4.368 -1.598
-0.856 5.068 2.232
-4.447 0.775 0.149
-0.501 7.869 4.977
-3.141 6.198 0.116
0.334 7.632 -0.508
-1.726 1.265 2.772
-1.385 6.387 -1.424
-2.612 4.879 3.773
-3.509 -0.060 2.128
-2.319 1.457 -3.075


Entry 5:
PBE Er2InH, optimized geometry; excess energy over the best structure of this formula in the dataset = 0.0 meV/atom; spin magnetization = 0.0 μB per formula unit; calculated density = 8.77 g/cm³
1.0
4.507 0.000 -0.003
0.000 4.507 -0.003
0.003 0.003 8.393
In Er H
2 4 2
Cartesian
1.130 1.130 6.532
3.380 3.380 1.855
3.384 3.384 7.095
1.129 3.382 4.193
3.382 1.128 4.193
1.126 1.126 1.292
1.128 1.128 3.528
3.383 3.383 4.859


Entry 6:
PBE Sm2CdPd3, optimized geometry; excess energy over the best structure of this formula in the dataset = 0.0 meV/atom; spin magnetization = 0.0 μB per formula unit; energy of formation = -740 meV per atom; calculated density = 9.37 g/cm³
1.0
3.916 0.000 0.000
0.000 7.480 0.000
0.000 0.000 17.721
Cd Sm Pd
4 8 12
Cartesian
2.937 0.105 9.984
0.979 7.375 7.737
0.979 3.635 1.123
2.937 3.845 16.598
0.979 1.146 16.446
0.979 4.520 13.974
2.937 2.960 3.747
0.979 0.780 12.608
0.979 4.886 10.135
2.937 2.594 7.586
2.937 6.334 1.275
2.937 6.700 5.113
2.937 6.828 14.926
0.979 5.783 16.771
0.979 2.043 9.811
2.937 1.697 0.950
2.937 5.926 12.222
0.979 4.392 6.065
0.979 1.554 5.500
0.979 0.652 2.795
2.937 2.186 14.360
2.937 3.088 11.656
2.937 5.437 7.910
0.979 5.294 3.361


Entry 7:
PBE Pu3SiGe2Au6, optimized geometry; energy relative to the elements, uncorrected = -0.196 eV/atom; spin magnetization = 17.2 μB per formula unit; calculated density = 12.60 g/cm³
1.0
6.327 0.000 0.000
-3.164 5.479 0.000
0.000 0.000 7.937
Si Ge Au Pu
1 2 6 3
Cartesian
0.000 0.000 3.969
3.164 1.826 7.578
0.000 3.653 0.359
-1.485 4.510 2.368
1.485 4.510 2.368
0.000 1.938 2.368
4.649 0.969 5.569
1.678 0.969 5.569
3.164 3.541 5.569
0.000 3.653 5.214
3.164 1.826 2.723
0.000 0.000 0.000


Entry 8:
PBE Ca6InRh2, optimized geometry; spin magnetization = 0.0 μB per formula unit; energy of formation = -367 meV per atom; calculated density = 3.62 g/cm³
1.0
-5.086 -6.732 -2.461
8.438 -2.126 1.232
-2.117 3.254 7.885
Ca In Rh
12 2 4
Cartesian
5.454 -0.927 6.647
2.776 -2.970 5.262
-4.452 -4.041 3.587
-0.979 -4.099 4.680
-0.162 -0.735 4.855
-1.541 -2.635 1.394
2.215 -1.505 1.976
-0.613 -5.228 -1.097
1.848 -0.376 7.754
1.397 -4.870 1.802
-4.218 -4.677 0.009
5.688 -1.564 3.070
3.161 0.564 4.559
0.000 0.000 0.000
1.006 -2.659 -0.369
2.346 -6.199 -0.860
-2.774 -1.592 3.906
4.009 -4.013 2.751


Entry 9:
PBE DyPHRh2, optimized geometry; electronic total energy = -65.26 eV for the cell shown; spin magnetization = 0.0 μB per formula unit; calculated density = 9.53 g/cm³
1.0
-3.396 -0.902 -1.356
1.545 -3.731 3.841
-3.046 3.913 5.025
Rh H P Dy
4 2 2 2
Cartesian
-1.738 0.825 3.805
-3.159 -1.543 3.705
-2.929 2.354 5.769
-1.969 -3.073 1.741
-1.523 1.957 2.513
0.000 0.000 0.000
-0.846 -1.319 2.994
-4.052 0.600 4.516
-2.477 0.068 0.926
-2.421 -0.787 6.584


Entry 10:
PBE LaSbSe2, optimized geometry; excess energy over the best structure of this formula in the dataset = 287.1 meV/atom; energy relative to the elements, uncorrected = -0.840 eV/atom; spin magnetization = 0.0 μB per formula unit; calculated density = 6.75 g/cm³
1.0
0.000 3.720 3.720
3.720 0.000 3.720
3.720 3.720 0.000
Se Sb La
2 1 1
Cartesian
1.860 1.860 1.860
5.581 5.581 5.581
0.000 0.000 0.000
3.720 3.720 3.720


Entry 11:
PBE Na2TlPbO4, optimized geometry; energy relative to the elements, uncorrected = -1.108 eV/atom; spin magnetization = 0.0 μB per formula unit; calculated density = 7.37 g/cm³
1.0
3.479 0.000 0.000
0.000 5.999 0.101
0.000 -2.100 5.595
Pb O Tl Na
1 4 1 2
Cartesian
0.000 0.000 0.000
1.740 2.923 4.417
1.740 0.977 1.278
0.000 -0.064 4.373
0.000 3.963 1.323
1.740 3.000 0.050
0.000 1.950 2.848
1.740 -1.050 2.797


Entry 12:
PBE ZnAsCl, optimized geometry; excess energy over the best structure of this formula in the dataset = 216.0 meV/atom; energy relative to the elements, uncorrected = -0.245 eV/atom; spin magnetization = 0.0 μB per formula unit; calculated density = 4.25 g/cm³
1.0
-2.553 -2.033 0.051
2.998 -1.131 0.620
-0.970 1.400 7.245
Cl Zn As
1 1 1
Cartesian
-1.130 -1.115 3.431
0.520 -0.525 5.120
-0.885 1.277 6.610


Entry 13:
PBE PmNdHg, optimized geometry; excess energy over the best structure of this formula in the dataset = 24.8 meV/atom; spin magnetization = 0.2 μB per formula unit; energy of formation = -306 meV per atom; calculated density = 8.91 g/cm³
1.0
3.751 0.000 0.000
0.000 3.751 0.000
-1.876 -1.876 6.491
Nd Hg Pm
1 1 1
Cartesian
1.876 1.876 1.349
1.876 1.876 5.818
0.000 0.000 3.867


Entry 14:
PBE Dy3Ge2RuC, optimized geometry; spin magnetization = 0.0 μB per formula unit; energy of formation = -535 meV per atom; calculated density = 8.55 g/cm³
1.0
3.960 0.000 0.000
0.000 4.714 0.000
-1.980 -2.357 7.762
Ge Dy C Ru
2 3 1 1
Cartesian
0.000 0.000 5.493
1.980 2.357 2.269
0.000 2.357 0.000
1.980 2.357 5.220
0.000 0.000 2.541
0.000 0.000 0.000
1.980 0.000 0.000